1.
The following is a PBE calculation of a relaxed Sr3Se2Cl2O6 crystal, from Alexandria.

As for the uncorrected formation energy: -2061 meV/atom. The size of the total moment is 0.00 μB per formula unit. As for the space group: C2, No. 5. For the density of states at the Fermi level, the calculation gives 0.0000 states/eV/atom.

Geometry as POSCAR:
```
Sr3Se2Cl2O6
1.0
6.673 -2.829 0.000
6.673 2.829 0.000
-1.081 0.000 6.821
Sr Se Cl O
3 2 2 6
direct
0.000 0.000 0.000 Sr
0.237 0.326 0.788 Sr
0.674 0.763 0.212 Sr
0.365 0.458 0.261 Se
0.542 0.635 0.739 Se
0.109 0.228 0.369 Cl
0.772 0.891 0.631 Cl
0.081 0.620 0.110 O
0.368 0.565 0.774 O
0.380 0.919 0.890 O
0.435 0.632 0.226 O
0.572 0.173 0.116 O
0.827 0.428 0.884 O
```



2.
The following is a PBE calculation of a relaxed LiC5 crystal, from Alexandria.

The size of the total moment is 0.00 μB per formula unit. The excess energy over the best structure of this formula in the dataset comes out at 1.865 eV per atom. Its formation enthalpy at 0 K is 246.8 kJ/mol of atoms. As for the space group: P6/mmm, No. 191. For the density of states at the Fermi level, the calculation gives 0.3767 states/eV/atom.

Geometry as POSCAR:
```
LiC5
1.0
4.539 0.000 0.000
-2.270 3.931 0.000
0.000 0.000 2.401
Li C
1 5
direct
0.000 0.000 0.000 Li
0.000 0.500 0.500 C
0.333 0.667 0.000 C
0.500 0.000 0.500 C
0.500 0.500 0.500 C
0.667 0.333 0.000 C
```



3.
The following is a PBE calculation of a relaxed Nd4Sm2Cd crystal, from Alexandria.

The size of the total moment is 0.00 μB per formula unit. Its formation enthalpy at 0 K is 2.7 kJ/mol of atoms. As for the space group: C2/m, No. 12. For the density of states at the Fermi level, the calculation gives 1.2595 states/eV/atom.

Geometry as POSCAR:
```
Nd4Sm2Cd
1.0
8.483 -1.791 0.000
8.483 1.791 0.000
-3.989 0.000 7.741
Nd Sm Cd
4 2 1
direct
0.082 0.082 0.202 Nd
0.371 0.371 0.114 Nd
0.629 0.629 0.886 Nd
0.918 0.918 0.798 Nd
0.217 0.217 0.640 Sm
0.783 0.783 0.360 Sm
0.000 0.000 0.500 Cd
```



4.
The following is a PBE calculation of a relaxed ZrAs2BrN crystal, from Alexandria.

As for the uncorrected formation energy: 504 meV/atom. The size of the total moment is 0.00 μB per formula unit. The excess energy over the best structure of this formula in the dataset comes out at 0.000 eV per atom. As for the space group: P4/mmm, No. 123. For the density of states at the Fermi level, the calculation gives 0.2794 states/eV/atom.

Geometry as POSCAR:
```
ZrAs2BrN
1.0
4.466 0.000 0.000
0.000 4.466 0.000
0.000 0.000 4.363
Zr As Br N
1 2 1 1
direct
0.000 0.000 0.000 Zr
0.000 0.500 0.500 As
0.500 0.000 0.500 As
0.500 0.500 0.000 Br
0.500 0.500 0.500 N
```



5.
The following is a PBE calculation of a relaxed Hf3CoPb crystal, from Alexandria.

The size of the total moment is 0.00 μB per formula unit. The excess energy over the best structure of this formula in the dataset comes out at 0.173 eV per atom. Its formation enthalpy at 0 K is 0.5 kJ/mol of atoms. As for the space group: Pm-3m, No. 221. For the density of states at the Fermi level, the calculation gives 0.9380 states/eV/atom.

Geometry as POSCAR:
```
Hf3CoPb
1.0
4.814 0.000 0.000
0.000 4.814 0.000
0.000 0.000 4.814
Hf Co Pb
3 1 1
direct
0.000 0.000 0.500 Hf
0.000 0.500 0.000 Hf
0.500 0.000 0.000 Hf
0.000 0.000 0.000 Co
0.500 0.500 0.500 Pb
```



6.
The following is a PBE calculation of a relaxed SrLi2Co crystal, from Alexandria.

The size of the total moment is 1.16 μB per formula unit. The excess energy over the best structure of this formula in the dataset comes out at 0.072 eV per atom. Its formation enthalpy at 0 K is 39.8 kJ/mol of atoms. As for the space group: I4/mmm, No. 139. For the density of states at the Fermi level, the calculation gives 1.3552 states/eV/atom.

Geometry as POSCAR:
```
SrLi2Co
1.0
-2.137 2.137 4.733
2.137 -2.137 4.733
2.137 2.137 -4.733
Sr Li Co
1 2 1
direct
0.000 0.000 0.000 Sr
0.250 0.750 0.500 Li
0.750 0.250 0.500 Li
0.500 0.500 0.000 Co
```